1.
A plane-wave DFT calculation with GGA-PBEsol was carried out for a geometry-optimized Ga2BH structure.

Geometry as CIF:
```
data_Ga2BH
_symmetry_space_group_name_H-M 'I -4 2 d'
_symmetry_Int_Tables_number 122
_symmetry_space_group_name_Hall 'I -4 2bw'
_cell_length_a 4.4015
_cell_length_b 4.4015
_cell_length_c 10.6488
_cell_angle_alpha 90.00
_cell_angle_beta 90.00
_cell_angle_gamma 90.00
loop_
_atom_site_label
_atom_site_fract_x
_atom_site_fract_y
_atom_site_fract_z
_atom_site_occupancy
Ga1 0.2458 0.2500 0.1250 1
B1 0.0000 0.0000 0.0000 1
H1 0.0000 0.0000 0.5000 1
```

## Properties
- Crystal system: tetragonal
- VASP energy: -3.803 eV per atom


2.
A plane-wave DFT calculation with GGA-PBEsol was carried out for a geometry-optimized Na4Ga3Si3BH4O12 structure.

Geometry as CIF:
```
data_Na4Ga3Si3BH4O12
_symmetry_space_group_name_H-M 'P -4 3 n'
_symmetry_Int_Tables_number 218
_symmetry_space_group_name_Hall 'P -4n 2 3'
_cell_length_a 8.9466
_cell_length_b 8.9466
_cell_length_c 8.9466
_cell_angle_alpha 90.00
_cell_angle_beta 90.00
_cell_angle_gamma 90.00
loop_
_atom_site_label
_atom_site_fract_x
_atom_site_fract_y
_atom_site_fract_z
_atom_site_occupancy
Na1 0.1705 0.1705 0.1705 1
Ga1 0.0000 0.2500 0.5000 1
Si1 0.0000 0.5000 0.2500 1
B1 0.0000 0.0000 0.0000 1
H1 0.0795 0.0795 0.9205 1
O1 0.0758 0.3663 0.6504 1
```

## Properties
- Crystal system: cubic
- VASP energy: -6.197 eV per atom


Question: Which of these has the highest VASP energy?
Answer: Ga2BH


Question: Among the records above, which one has the lowest VASP energy?
Answer: Na4Ga3Si3BH4O12


Question: Number 1 is which compound?
Answer: Ga2BH


Question: What is the formula in the first record?
Answer: Ga2BH